Entry 1:
Here is a relaxed structure of ZnCd2Te from Alexandria via LeMat-Bulk. Energies are from PBE.

Output
**Size of the total moment**: 0.0 μB per cell
**Final energy**: -6.11 eV for the cell shown
**Formation energy (no corrections)**: 0.03 eV/atom
**Energy above the most stable polymorph in this dataset**: 0.056 eV/atom

abc: 4.2045 4.0443 6.0106
angles: 90.00 106.21 90.00
Fractional coordinates of all 4 atoms:
Zn: 0.0000 0.0000 0.0000
Cd: 0.4574 0.5000 0.2320
Cd: 0.5426 0.5000 0.7680
Te: 0.0000 0.0000 0.5000



Entry 2:
Here is a relaxed structure of SrAc4Cu3O12 from Alexandria via LeMat-Bulk. Energies are from PBE.

Output
**Size of the total moment**: 0.0 μB per cell
**Final energy**: -131.10 eV for the cell shown
**Formation energy (no corrections)**: -2.06 eV/atom

abc: 7.0316 7.0316 7.0316
angles: 109.47 109.47 109.47
Fractional coordinates of all 20 atoms:
Sr: 0.0000 0.0000 0.0000
Ac: 0.0000 0.0000 0.5000
Ac: 0.0000 0.5000 0.0000
Ac: 0.5000 0.0000 0.0000
Ac: 0.5000 0.5000 0.5000
Cu: 0.0000 0.5000 0.5000
Cu: 0.5000 0.0000 0.5000
Cu: 0.5000 0.5000 0.0000
O: 0.0000 0.2753 0.2753
O: 0.0000 0.7247 0.7247
O: 0.2500 0.5000 0.7500
O: 0.2500 0.7500 0.5000
O: 0.2753 0.0000 0.2753
O: 0.2753 0.2753 0.0000
O: 0.5000 0.2500 0.7500
O: 0.5000 0.7500 0.2500
O: 0.7247 0.0000 0.7247
O: 0.7247 0.7247 0.0000
O: 0.7500 0.2500 0.5000
O: 0.7500 0.5000 0.2500



Entry 3:
Here is a relaxed structure of MnAlHPt2 from Alexandria via LeMat-Bulk. Energies are from PBE.

Output
**Size of the total moment**: 3.4 μB per cell
**Final energy**: -30.21 eV for the cell shown

abc: 3.9679 3.9679 3.8989
angles: 90.00 90.00 90.00
Fractional coordinates of all 5 atoms:
Mn: 0.0000 0.0000 0.0000
Al: 0.5000 0.5000 0.0000
H: 0.0000 0.0000 0.5000
Pt: 0.0000 0.5000 0.5000
Pt: 0.5000 0.0000 0.5000



Entry 4:
Here is a relaxed structure of CsZnCd3 from Alexandria via LeMat-Bulk. Energies are from PBE.

Output
**Size of the total moment**: 0.0 μB per cell
**Final energy**: -4.54 eV for the cell shown
**ΔH_f (0 K)**: 67 meV per atom
**Energy above the most stable polymorph in this dataset**: 0.063 eV/atom

abc: 5.4495 5.4495 5.4495
angles: 90.00 90.00 90.00
Fractional coordinates of all 5 atoms:
Cs: 0.0000 0.0000 0.0000
Zn: 0.5000 0.5000 0.5000
Cd: 0.0000 0.5000 0.5000
Cd: 0.5000 0.0000 0.5000
Cd: 0.5000 0.5000 0.0000



Entry 5:
Here is a relaxed structure of Sn2Ge2Te from Alexandria via LeMat-Bulk. Energies are from PBE.

Output
**Size of the total moment**: 0.0 μB per cell
**Final energy**: -38.94 eV for the cell shown
**Formation energy (no corrections)**: 0.18 eV/atom
**Energy above the most stable polymorph in this dataset**: 0.084 eV/atom

abc: 8.1729 8.1729 3.7475
angles: 90.00 90.00 90.00
Fractional coordinates of all 10 atoms:
Sn: 0.1522 0.3478 0.0000
Sn: 0.3478 0.8478 0.0000
Sn: 0.6522 0.1522 0.0000
Sn: 0.8478 0.6522 0.0000
Ge: 0.1461 0.6461 0.5000
Ge: 0.3539 0.1461 0.5000
Ge: 0.6461 0.8539 0.5000
Ge: 0.8539 0.3539 0.5000
Te: 0.0000 0.0000 0.5000
Te: 0.5000 0.5000 0.5000



Entry 6:
Here is a relaxed structure of CePb2Au from Alexandria via LeMat-Bulk. Energies are from PBE.

Output
**Size of the total moment**: 1.6 μB per cell
**Final energy**: -36.88 eV for the cell shown
**ΔH_f (0 K)**: -453 meV per atom
**Energy above the most stable polymorph in this dataset**: 0.000 eV/atom

abc: 9.3006 9.3006 9.3006
angles: 148.91 148.91 44.54
Fractional coordinates of all 8 atoms:
Ce: 0.1383 0.1383 0.0000
Ce: 0.8617 0.8617 0.0000
Pb: 0.0000 0.5000 0.5000
Pb: 0.3584 0.3584 0.0000
Pb: 0.5000 0.0000 0.5000
Pb: 0.6416 0.6416 0.0000
Au: 0.2500 0.7500 0.5000
Au: 0.7500 0.2500 0.5000